Entry 1:
Dy4Er3Ir4 | the Alexandria database | GGA-PBE | relaxed; energy of formation = -0.6810 eV/atom; symmetry = Immm (71); N(E_F) = 7.1 states/eV per cell
1.0
-1.894 4.313 7.977
1.894 -4.313 7.977
1.894 4.313 -7.977
Dy Er Ir
4 3 4
Cartesian
1.894 -2.676 5.321
0.000 1.637 2.656
1.894 2.676 5.321
0.000 6.989 2.656
1.894 0.000 0.000
0.000 0.000 6.386
0.000 0.000 9.567
1.894 0.000 4.019
0.000 2.475 0.000
0.000 6.150 0.000
0.000 4.313 3.958

=====

Entry 2:
DyEr4Ir5 | the Alexandria database | GGA-PBE | relaxed; energy of formation = -0.8628 eV/atom; symmetry = P4/mmm (123); N(E_F) = 2.7 states/eV per cell
1.0
3.326 0.000 0.000
0.000 3.326 0.000
0.000 0.000 17.758
Dy Er Ir
1 4 5
Cartesian
0.000 0.000 0.000
0.000 0.000 3.570
0.000 0.000 7.110
0.000 0.000 10.648
0.000 0.000 14.188
1.663 1.663 1.809
1.663 1.663 5.343
1.663 1.663 8.879
1.663 1.663 12.416
1.663 1.663 15.949

=====

Entry 3:
Dy2ErIr9 | the Alexandria database | GGA-PBE | relaxed; energy of formation = -0.5828 eV/atom; symmetry = R-3m (166); N(E_F) = 11.9 states/eV per cell
1.0
2.648 1.529 8.792
-2.648 1.529 8.792
0.000 -3.058 8.792
Dy Er Ir
2 1 9
Cartesian
0.000 0.000 3.669
0.000 0.000 22.706
0.000 0.000 0.000
-1.321 -0.763 10.956
0.000 0.000 8.777
0.000 -1.526 15.420
-1.321 0.763 15.420
0.000 0.000 13.188
1.321 -0.763 10.956
0.000 1.526 10.956
0.000 0.000 17.598
1.321 0.763 15.420

=====

Entry 4:
Dy2ErIr3 | the Alexandria database | GGA-PBE | relaxed; energy of formation = -0.8376 eV/atom; symmetry = P-3m1 (164); offset from the most stable computed form = 0.000 eV per atom; N(E_F) = 2.7 states/eV per cell
1.0
4.834 0.000 0.000
-2.417 4.187 0.000
0.000 0.000 5.917
Dy Er Ir
2 1 3
Cartesian
0.000 2.791 0.990
2.417 1.396 4.927
0.000 0.000 2.959
0.000 0.000 0.000
0.000 2.791 3.934
2.417 1.396 1.983

=====

Entry 5:
Dy3ErIr8 | the Alexandria database | GGA-PBE | relaxed; energy of formation = -0.8166 eV/atom; symmetry = R3m (160); N(E_F) = 9.2 states/eV per cell
1.0
2.678 1.546 8.737
-2.678 1.546 8.737
0.000 -3.092 8.737
Dy Er Ir
3 1 8
Cartesian
0.000 0.000 0.000
0.000 0.000 3.277
0.000 0.000 13.114
0.000 0.000 16.387
-1.340 -0.774 10.374
0.000 -1.547 6.015
-1.339 0.773 6.015
0.000 0.000 8.194
1.340 -0.774 10.374
1.339 0.773 6.015
0.000 1.547 10.374
0.000 0.000 21.300

=====

Entry 6:
Dy4ErIr2 | the Alexandria database | GGA-PBE | relaxed; energy of formation = -0.5372 eV/atom; symmetry = P2_1/m (11); N(E_F) = 14.6 states/eV per cell
1.0
7.830 0.000 0.000
0.000 6.314 0.000
-3.025 0.000 7.275
Dy Er Ir
8 2 4
Cartesian
-1.024 1.579 2.762
0.922 4.736 2.427
0.943 0.019 5.556
0.943 3.138 5.556
3.862 3.176 1.719
3.862 6.295 1.719
3.883 1.579 4.849
5.828 4.736 4.513
1.138 1.579 0.220
3.667 4.736 7.056
-0.991 4.736 7.172
1.689 1.579 2.981
3.116 4.736 4.295
5.796 1.579 0.103